A plane-wave DFT calculation with PBE-GGA was carried out for a relaxed structure of ErTl3Cr2Se6.

Results
Formation energy without anion corrections ... -0.747 eV/atom
Crystal system ... monoclinic
Magnetic moment ... 6.04 μB per formula unit

Cell and atoms, written as CIF:
```
data_ErTl3Cr2Se6
_chemical_formula_sum 'Er2 Tl6 Cr4 Se12'
_symmetry_space_group_name_H-M 'C 1 2/m 1'
_symmetry_Int_Tables_number 12
_symmetry_space_group_name_Hall '-C 2y'
_cell_length_a 6.784
_cell_length_b 11.698
_cell_length_c 8.008
_cell_angle_alpha 90.00
_cell_angle_beta 106.46
_cell_angle_gamma 90.00
loop_
_atom_site_label
_atom_site_type_symbol
_atom_site_fract_x
_atom_site_fract_y
_atom_site_fract_z
Er1 Er 0.000 0.000 0.000
Tl1 Tl 0.000 0.156 0.500
Tl2 Tl 0.000 0.500 0.500
Cr1 Cr 0.000 0.333 0.000
Se1 Se 0.200 0.500 0.182
Se2 Se 0.244 0.180 0.190
```

***

A plane-wave DFT calculation with PBE-GGA was carried out for a relaxed structure of LaTbPmGd.

Results
Crystal system ... cubic
DFT formation energy ... 0.109 eV/atom
Magnetic moment ... 8.11 μB per formula unit

Cell and atoms, written as CIF:
```
data_LaTbPmGd
_chemical_formula_sum 'La4 Tb4 Pm4 Gd4'
_symmetry_space_group_name_H-M 'F -4 3 m'
_symmetry_Int_Tables_number 216
_symmetry_space_group_name_Hall 'F -4 2 3'
_cell_length_a 8.186
_cell_length_b 8.186
_cell_length_c 8.186
_cell_angle_alpha 90.00
_cell_angle_beta 90.00
_cell_angle_gamma 90.00
loop_
_atom_site_label
_atom_site_type_symbol
_atom_site_fract_x
_atom_site_fract_y
_atom_site_fract_z
La1 La 0.000 0.000 0.000
Tb1 Tb 0.250 0.250 0.750
Pm1 Pm 0.000 0.000 0.500
Gd1 Gd 0.250 0.250 0.250
```

***

A plane-wave DFT calculation with PBE-GGA was carried out for a relaxed structure of CaIr3Br.

Results
Formation energy without anion corrections ... 2.474 eV/atom
Crystal system ... cubic
Relative energy among the computed polymorphs ... 1349.3 meV/atom
Magnetic moment ... 4.03 μB per formula unit

Cell and atoms, written as CIF:
```
data_CaIr3Br
_chemical_formula_sum 'Ca1 Ir3 Br1'
_symmetry_space_group_name_H-M 'P m -3 m'
_symmetry_Int_Tables_number 221
_symmetry_space_group_name_Hall '-P 4 2 3'
_cell_length_a 5.006
_cell_length_b 5.006
_cell_length_c 5.006
_cell_angle_alpha 90.00
_cell_angle_beta 90.00
_cell_angle_gamma 90.00
loop_
_atom_site_label
_atom_site_type_symbol
_atom_site_fract_x
_atom_site_fract_y
_atom_site_fract_z
Ca1 Ca 0.000 0.000 0.000
Ir1 Ir 0.000 0.000 0.500
Br1 Br 0.500 0.500 0.500
```

***

A plane-wave DFT calculation with PBE-GGA was carried out for a relaxed structure of TaPOs2.

Results
Crystal system ... tetragonal
DFT formation energy ... 0.134 eV/atom
Magnetic moment ... 0.00 μB per formula unit

Cell and atoms, written as CIF:
```
data_TaPOs2
_chemical_formula_sum 'Ta2 P2 Os4'
_symmetry_space_group_name_H-M 'I -4 m 2'
_symmetry_Int_Tables_number 119
_symmetry_space_group_name_Hall 'I -4 -2'
_cell_length_a 3.762
_cell_length_b 3.762
_cell_length_c 8.323
_cell_angle_alpha 90.00
_cell_angle_beta 90.00
_cell_angle_gamma 90.00
loop_
_atom_site_label
_atom_site_type_symbol
_atom_site_fract_x
_atom_site_fract_y
_atom_site_fract_z
Ta1 Ta 0.000 0.000 0.000
P1 P 0.000 0.500 0.250
Os1 Os 0.000 0.000 0.500
Os2 Os 0.000 0.500 0.750
```

***

A plane-wave DFT calculation with PBE-GGA was carried out for a relaxed structure of CoSb2RhI.

Results
Formation energy without anion corrections ... 0.725 eV/atom
Crystal system ... tetragonal
Relative energy among the computed polymorphs ... 0.0 meV/atom
Magnetic moment ... 0.00 μB per formula unit

Cell and atoms, written as CIF:
```
data_CoSb2RhI
_chemical_formula_sum 'Co1 Sb2 Rh1 I1'
_symmetry_space_group_name_H-M 'P 4/m m m'
_symmetry_Int_Tables_number 123
_symmetry_space_group_name_Hall '-P 4 2'
_cell_length_a 4.767
_cell_length_b 4.767
_cell_length_c 5.290
_cell_angle_alpha 90.00
_cell_angle_beta 90.00
_cell_angle_gamma 90.00
loop_
_atom_site_label
_atom_site_type_symbol
_atom_site_fract_x
_atom_site_fract_y
_atom_site_fract_z
Co1 Co 0.000 0.000 0.000
Sb1 Sb 0.000 0.500 0.000
Rh1 Rh 0.500 0.500 0.500
I1 I 0.000 0.000 0.500
```

***

A plane-wave DFT calculation with PBE-GGA was carried out for a relaxed structure of Ce3Sm2YP6.

Results
Crystal system ... monoclinic
DFT formation energy ... -1.550 eV/atom
Magnetic moment ... 1.47 μB per formula unit

Cell and atoms, written as CIF:
```
data_Ce3Sm2YP6
_chemical_formula_sum 'Ce6 Sm4 Y2 P12'
_symmetry_space_group_name_H-M 'C 1 2/m 1'
_symmetry_Int_Tables_number 12
_symmetry_space_group_name_Hall '-C 2y'
_cell_length_a 7.071
_cell_length_b 12.249
_cell_length_c 7.062
_cell_angle_alpha 90.00
_cell_angle_beta 109.51
_cell_angle_gamma 90.00
loop_
_atom_site_label
_atom_site_type_symbol
_atom_site_fract_x
_atom_site_fract_y
_atom_site_fract_z
Ce1 Ce 0.000 0.000 0.000
Ce2 Ce 0.000 0.333 0.000
Sm1 Sm 0.000 0.166 0.500
Y1 Y 0.000 0.500 0.500
P1 P 0.246 0.500 0.248
P2 P 0.249 0.335 0.752
```

***

A plane-wave DFT calculation with PBE-GGA was carried out for a relaxed structure of CdCuOs.

Results
Crystal system ... tetragonal
DFT formation energy ... 0.507 eV/atom
Relative energy among the computed polymorphs ... 81.6 meV/atom
Magnetic moment ... 0.00 μB per formula unit

Cell and atoms, written as CIF:
```
data_CdCuOs
_chemical_formula_sum 'Cd2 Cu2 Os2'
_symmetry_space_group_name_H-M 'I 4 m m'
_symmetry_Int_Tables_number 107
_symmetry_space_group_name_Hall 'I 4 -2'
_cell_length_a 2.761
_cell_length_b 2.761
_cell_length_c 12.143
_cell_angle_alpha 90.00
_cell_angle_beta 90.00
_cell_angle_gamma 90.00
loop_
_atom_site_label
_atom_site_type_symbol
_atom_site_fract_x
_atom_site_fract_y
_atom_site_fract_z
Cd1 Cd 0.000 0.000 0.000
Cu1 Cu 0.000 0.000 0.328
Os1 Os 0.000 0.000 0.682
```

***

A plane-wave DFT calculation with PBE-GGA was carried out for a relaxed structure of Sr3Ac5Se8.

Results
Formation energy without anion corrections ... -1.916 eV/atom
Crystal system ... trigonal
Magnetic moment ... 0.00 μB per formula unit

Cell and atoms, written as CIF:
```
data_Sr3Ac5Se8
_chemical_formula_sum 'Sr9 Ac15 Se24'
_symmetry_space_group_name_H-M 'R -3 m'
_symmetry_Int_Tables_number 166
_symmetry_space_group_name_Hall '-R 3 2"'
_cell_length_a 8.8864
_cell_length_b 8.8864
_cell_length_c 21.9674
_cell_angle_alpha 90.00
_cell_angle_beta 90.00
_cell_angle_gamma 120.00
loop_
_atom_site_label
_atom_site_type_symbol
_atom_site_fract_x
_atom_site_fract_y
_atom_site_fract_z
Sr1 Sr 0.0000 0.5000 0.0000
Ac1 Ac 0.0000 0.0000 0.0000
Ac2 Ac 0.0000 0.0000 0.5000
Ac3 Ac 0.0000 0.5000 0.5000
Se1 Se 0.0000 0.0000 0.2514
Se2 Se 0.0028 0.5014 0.2514
```

***

Question: Number 5 is which compound?
Answer: CoSb2RhI